This record from Alexandria describes La3YS after structural relaxation. The functional is GGA-PBE.

- E above lowest polymorph (eV per atom) = 0.000
- V (Å³/atom) = 35.15
- raw formation energy (eV/f.u.) = -3.6
- uncorrected energy (eV per atom) = -5.795
- N(E_F) (states/eV per atom) = 1.463

Cell lengths 5.6017, 5.6017, 5.6017 Å; angles 90.00, 90.00, 90.00 degrees
Element x y z (fractional)
Y1 0.5000 0.5000 0.5000
La1 0.0000 0.0000 0.5000
La2 0.0000 0.5000 0.0000
La3 0.5000 0.0000 0.0000
S1 0.0000 0.0000 0.0000


This record from Alexandria describes LaY2S4 after structural relaxation. The functional is GGA-PBE.

- V (Å³/atom) = 24.18
- raw formation energy (eV/f.u.) = -14.9
- uncorrected energy (eV per atom) = -7.041
- N(E_F) (states/eV per atom) = 0.273

Cell lengths 3.9244, 6.7944, 13.2633 Å; angles 90.00, 90.00, 106.79 degrees
Element x y z (fractional)
La1 0.6214 0.2429 0.7500
La2 0.3786 0.7571 0.2500
S1 0.7720 0.5440 0.3807
S2 0.2280 0.4560 0.6193
S3 0.2280 0.4560 0.8807
S4 0.5000 0.0000 0.5000
S5 0.5000 0.0000 0.0000
S6 0.0408 0.0816 0.2500
S7 0.9592 0.9184 0.7500
S8 0.7720 0.5440 0.1193
Y1 0.1304 0.2609 0.4336
Y2 0.8696 0.7391 0.9336
Y3 0.1304 0.2609 0.0664
Y4 0.8696 0.7391 0.5664


This record from Alexandria describes LaYS2 after structural relaxation. The functional is GGA-PBE.

- E above lowest polymorph (eV per atom) = 0.449
- V (Å³/atom) = 30.21
- raw formation energy (eV/f.u.) = -6.6
- uncorrected energy (eV per atom) = -6.553
- N(E_F) (states/eV per atom) = 0.432

Cell lengths 8.8374, 8.8374, 8.8374 Å; angles 26.47, 26.47, 26.47 degrees
Element x y z (fractional)
S1 0.1100 0.1100 0.1100
S2 0.8900 0.8900 0.8900
Y1 0.5000 0.5000 0.5000
La1 0.0000 0.0000 0.0000


This record from Alexandria describes La3Y5S8 after structural relaxation. The functional is GGA-PBE.

- V (Å³/atom) = 22.79
- raw formation energy (eV/f.u.) = -32.9
- uncorrected energy (eV per atom) = -7.063
- N(E_F) (states/eV per atom) = 0.570

Cell lengths 7.9987, 7.9987, 8.0390 Å; angles 60.17, 60.17, 60.00 degrees
Element x y z (fractional)
La1 0.5000 0.0000 0.5000
La2 0.0000 0.0000 0.5000
La3 0.0000 0.5000 0.5000
Y1 0.5000 0.5000 0.5000
Y2 0.5000 0.5000 0.0000
Y3 0.0000 0.0000 0.0000
Y4 0.5000 0.0000 0.0000
Y5 0.0000 0.5000 0.0000
S1 0.2566 0.2566 0.2303
S2 0.7374 0.2500 0.7627
S3 0.7500 0.2626 0.2373
S4 0.2626 0.7500 0.2373
S5 0.7500 0.7500 0.2373
S6 0.2500 0.7374 0.7627
S7 0.7434 0.7434 0.7697
S8 0.2500 0.2500 0.7627


This record from Alexandria describes LaY3S6 after structural relaxation. The functional is GGA-PBE.

- V (Å³/atom) = 24.26
- raw formation energy (eV/f.u.) = -21.3
- uncorrected energy (eV per atom) = -7.037

Cell lengths 4.0289, 11.1425, 11.4115 Å; angles 71.27, 90.00, 90.00 degrees
Element x y z (fractional)
S1 0.7500 0.1188 0.5373
S2 0.7500 0.8039 0.2490
S3 0.7500 0.3941 0.9423
S4 0.2500 0.6059 0.0577
S5 0.7500 0.9172 0.9069
S6 0.7500 0.7329 0.7289
S7 0.2500 0.1961 0.7510
S8 0.2500 0.2671 0.2711
S9 0.2500 0.8812 0.4627
S10 0.7500 0.4778 0.3892
S11 0.2500 0.5222 0.6108
S12 0.2500 0.0828 0.0931
La1 0.2500 0.9498 0.6944
La2 0.7500 0.0502 0.3056
Y1 0.7500 0.4433 0.1670
Y2 0.2500 0.5567 0.8330
Y3 0.7500 0.1607 0.9125
Y4 0.7500 0.6798 0.4989
Y5 0.2500 0.8393 0.0875
Y6 0.2500 0.3202 0.5011


This record from Alexandria describes LaYS2 after structural relaxation. The functional is GGA-PBE.

- E above lowest polymorph (eV per atom) = 0.500
- V (Å³/atom) = 32.54
- raw formation energy (eV/f.u.) = -6.4
- uncorrected energy (eV per atom) = -6.502
- N(E_F) (states/eV per atom) = 0.034

Cell lengths 8.5423, 8.5423, 8.5423 Å; angles 29.07, 29.07, 29.07 degrees
Element x y z (fractional)
Y1 0.0000 0.0000 0.0000
S1 0.1072 0.1072 0.1072
S2 0.8928 0.8928 0.8928
La1 0.5000 0.5000 0.5000